! Sc2TcMo (PBE, optimized geometry); values from VASP
! SG: Fm-3m
! Magnetization in μB/f.u.: 1.321
! Offset from the most stable computed form in kJ per mole of atoms: 28.7
! DOS(E_F) in states/eV per atom: 1.81
&SYSTEM
  ibrav = 0, nat = 4, ntyp = 3
/
ATOMIC_SPECIES
Tc 98.00 Tc.upf
Sc 44.96 Sc.upf
Mo 95.94 Mo.upf
CELL_PARAMETERS angstrom
1.4956 -3.3988 2.7901
-3.0325 -3.0014 1.8355
-0.0788 -4.4081 -1.4615
ATOMIC_POSITIONS crystal
Tc 0.5000 0.5000 0.5000
Sc 0.2500 0.2500 0.2500
Sc 0.7500 0.7500 0.7500
Mo 0.0000 0.0000 0.0000